Record 1
Density functional theory data (PBE) for crystalline Sm2DyY2Mg at its relaxed geometry.

abc: 10.3661 11.8578 3.6194
angles: 90.00 90.00 90.00
Sites, in units of the cell vectors:
Sm: 0.0904 0.2243 0.0000
Sm: 0.4096 0.7243 0.5000
Sm: 0.5904 0.2757 0.5000
Sm: 0.9096 0.7757 0.0000
Dy: 0.0000 0.0000 0.5000
Dy: 0.5000 0.5000 0.0000
Y: 0.2469 0.4305 0.5000
Y: 0.2531 0.9305 0.0000
Y: 0.7469 0.0695 0.0000
Y: 0.7531 0.5695 0.5000
Mg: 0.0000 0.5000 0.0000
Mg: 0.5000 0.0000 0.5000

Summary:
The formation enthalpy at 0 K comes out at 0.454 eV per atom.

Record 2
Density functional theory data (PBE) for crystalline PrPuTeI at its relaxed geometry.

abc: 5.4951 5.4951 5.4951
angles: 60.00 60.00 60.00
Sites, in units of the cell vectors:
Pr: 0.0000 0.0000 0.0000
Pu: 0.5000 0.5000 0.5000
Te: 0.7500 0.7500 0.7500
I: 0.2500 0.2500 0.2500

Summary:
As for the total energy: -6.863 eV per atom.

Record 3
Density functional theory data (PBE) for crystalline AlTcTe2 at its relaxed geometry.

abc: 10.1418 10.1418 10.1418
angles: 18.80 18.80 18.80
Sites, in units of the cell vectors:
Al: 0.0000 0.0000 0.0000
Tc: 0.2701 0.2701 0.2701
Te: 0.5431 0.5431 0.5431
Te: 0.7426 0.7426 0.7426

Summary:
As for the total energy: -5.114 eV per atom.

Record 4
Density functional theory data (PBE) for crystalline Cs2GeAsS4 at its relaxed geometry.

abc: 7.1948 7.1948 7.1948
angles: 117.06 117.06 95.17
Sites, in units of the cell vectors:
Cs: 0.0000 0.0000 0.0000
Cs: 0.7500 0.2500 0.5000
Ge: 0.2500 0.7500 0.5000
As: 0.5000 0.5000 0.0000
S: 0.2513 0.1195 0.6241
S: 0.3728 0.7487 0.8682
S: 0.4954 0.6272 0.3759
S: 0.8805 0.5046 0.1318

Summary:
As for the total energy: -4.005 eV per atom.

Record 5
Density functional theory data (PBE) for crystalline Zr2ScRe at its relaxed geometry.

abc: 2.9145 4.7382 5.7914
angles: 90.00 90.00 90.00
Sites, in units of the cell vectors:
Zr: 0.0000 0.0000 0.0000
Zr: 0.5000 0.5000 0.2728
Sc: 0.5000 0.5000 0.7431
Re: 0.0000 0.0000 0.5042

Summary:
The formation enthalpy at 0 K comes out at 0.137 eV per atom.

Record 6
Density functional theory data (PBE) for crystalline Pm8Bi3SbTe4 at its relaxed geometry.

abc: 9.0169 9.0169 9.0169
angles: 60.23 60.23 60.23
Sites, in units of the cell vectors:
Pm: 0.2497 0.2497 0.2497
Pm: 0.2533 0.7462 0.7462
Pm: 0.2538 0.2538 0.7467
Pm: 0.2538 0.7467 0.2538
Pm: 0.7462 0.2533 0.7462
Pm: 0.7462 0.7462 0.2533
Pm: 0.7467 0.2538 0.2538
Pm: 0.7503 0.7503 0.7503
Bi: 0.0000 0.0000 0.5000
Bi: 0.0000 0.5000 0.0000
Bi: 0.5000 0.0000 0.0000
Sb: 0.5000 0.5000 0.5000
Te: 0.0000 0.0000 0.0000
Te: 0.0000 0.5000 0.5000
Te: 0.5000 0.0000 0.5000
Te: 0.5000 0.5000 0.0000

Summary:
As for the total energy: -5.376 eV per atom.

Record 7
Density functional theory data (PBE) for crystalline BeHg2Br at its relaxed geometry.

abc: 6.8957 6.8957 6.8957
angles: 145.81 145.81 49.13
Sites, in units of the cell vectors:
Be: 0.0000 0.0000 0.0000
Hg: 0.2500 0.7500 0.5000
Hg: 0.7500 0.2500 0.5000
Br: 0.5000 0.5000 0.0000

Summary:
The energy above the most stable polymorph in this dataset is 48.6 kJ/mol of atoms.

Record 8
Density functional theory data (PBE) for crystalline Cs2TiHgBr6 at its relaxed geometry.

abc: 8.3323 8.3323 8.3323
angles: 60.00 60.00 60.00
Sites, in units of the cell vectors:
Cs: 0.2500 0.2500 0.2500
Cs: 0.7500 0.7500 0.7500
Ti: 0.0000 0.0000 0.0000
Hg: 0.5000 0.5000 0.5000
Br: 0.2153 0.2153 0.7847
Br: 0.2153 0.7847 0.2153
Br: 0.2153 0.7847 0.7847
Br: 0.7847 0.2153 0.2153
Br: 0.7847 0.2153 0.7847
Br: 0.7847 0.7847 0.2153

Summary:
The energy above the most stable polymorph in this dataset is 1.6 kJ/mol of atoms.

Record 9
Density functional theory data (PBE) for crystalline Ca3Os at its relaxed geometry.

abc: 3.4637 3.4637 9.8734
angles: 90.00 90.00 90.00
Sites, in units of the cell vectors:
Ca: 0.0000 0.0000 0.0000
Ca: 0.5000 0.5000 0.3298
Ca: 0.5000 0.5000 0.6702
Os: 0.0000 0.0000 0.5000

Summary:
The formation enthalpy at 0 K comes out at 0.364 eV per atom.

Record 10
Density functional theory data (PBE) for crystalline Tm12Co5Te at its relaxed geometry.

abc: 8.1636 8.1636 8.1636
angles: 111.23 110.41 106.80
Sites, in units of the cell vectors:
Tm: 0.0250 0.2171 0.8079
Tm: 0.1791 0.2803 0.4594
Tm: 0.1791 0.7197 0.8988
Tm: 0.3199 0.0048 0.6848
Tm: 0.3199 0.6351 0.3152
Tm: 0.4091 0.2171 0.1921
Tm: 0.5909 0.7829 0.8079
Tm: 0.6801 0.3649 0.6848
Tm: 0.6801 0.9952 0.3152
Tm: 0.8209 0.2803 0.1012
Tm: 0.8209 0.7197 0.5406
Tm: 0.9750 0.7829 0.1921
Co: 0.0000 0.0000 0.0000
Co: 0.1138 0.6138 0.5000
Co: 0.3503 0.0000 0.3503
Co: 0.6497 0.0000 0.6497
Co: 0.8862 0.3862 0.5000
Te: 0.5000 0.5000 0.0000

Summary:
As for the total energy: -5.473 eV per atom.

Record 11
Density functional theory data (PBE) for crystalline LaAlO3 at its relaxed geometry.

abc: 3.6850 3.6850 6.0135
angles: 90.00 90.00 90.00
Sites, in units of the cell vectors:
La: 0.0000 0.0000 0.0000
Al: 0.5000 0.5000 0.3513
O: 0.0000 0.0000 0.6672
O: 0.0000 0.5000 0.2613
O: 0.5000 0.0000 0.2613

Summary:
As for the total energy: -6.896 eV per atom.

Record 12
Density functional theory data (PBE) for crystalline SmY5Tm7 at its relaxed geometry.

abc: 8.6242 8.6242 8.6242
angles: 134.12 100.97 96.52
Sites, in units of the cell vectors:
Sm: 0.0000 0.0000 0.0000
Y: 0.0223 0.0290 0.4560
Y: 0.0223 0.5663 0.9933
Y: 0.2992 0.7992 0.5000
Y: 0.5730 0.0290 0.0067
Y: 0.5730 0.5663 0.5440
Tm: 0.2183 0.5474 0.6709
Tm: 0.3015 0.3015 0.0000
Tm: 0.3806 0.0500 0.3307
Tm: 0.6044 0.6044 0.0000
Tm: 0.7193 0.0500 0.6693
Tm: 0.7991 0.2991 0.5000
Tm: 0.8766 0.5474 0.3291

Summary:
The formation enthalpy at 0 K comes out at 0.275 eV per atom.

no.,total magnetization (μB per formula unit)
1,0.00
2,6.92
3,0.00
4,0.00
5,0.00
6,0.00
7,0.00
8,0.00
9,0.00
10,0.04
11,0.00
12,0.00